[1]
Ag2TeRu | PBEsol | optimized geometry

Values from the calculation:
- Crystal system: orthorhombic
- VASP energy: -17.89 eV/f.u.
- Magnetic moment: 1.8 μB/cell
- Energy relative to the elements, uncorrected: 607 meV per atom

Cell and atoms, written as CIF:
```
data_Ag2TeRu
_chemical_formula_sum 'Ag2 Te1 Ru1'
_cell_length_a 2.918
_cell_length_b 2.918
_cell_length_c 8.888
_cell_angle_alpha 90.00
_cell_angle_beta 90.00
_cell_angle_gamma 90.11
_space_group_name_H-M_alt 'P 1'
_space_group_IT_number 1
loop_
_space_group_symop_operation_xyz
'x,y,z'
loop_
_atom_site_label
_atom_site_type_symbol
_atom_site_fract_x
_atom_site_fract_y
_atom_site_fract_z
Ag1 Ag 0.000 0.000 0.214
Ag2 Ag 0.000 0.000 0.786
Te1 Te 0.500 0.500 0.500
Ru1 Ru 0.500 0.500 0.000
```

[2]
ScWBr | PBEsol | optimized geometry

Values from the calculation:
- Energy relative to the lowest polymorph listed for this composition: 0.045 eV per atom
- Crystal system: tetragonal
- VASP energy: -21.19 eV/f.u.
- Magnetic moment: 0.0 μB/cell
- Energy relative to the elements, uncorrected: 363 meV per atom

Cell and atoms, written as CIF:
```
data_ScWBr
_chemical_formula_sum 'Sc1 W1 Br1'
_cell_length_a 7.501
_cell_length_b 7.501
_cell_length_c 7.501
_cell_angle_alpha 157.17
_cell_angle_beta 157.17
_cell_angle_gamma 32.50
_space_group_name_H-M_alt 'P 1'
_space_group_IT_number 1
loop_
_space_group_symop_operation_xyz
'x,y,z'
loop_
_atom_site_label
_atom_site_type_symbol
_atom_site_fract_x
_atom_site_fract_y
_atom_site_fract_z
Sc1 Sc 0.000 0.000 0.000
W1 W 0.641 0.641 0.000
Br1 Br 0.372 0.372 0.000
```